Compound: PmCoReO6
Source: Alexandria via LeMat-Bulk
Functional: PBE+U
Structure: relaxed

Output
Symmetry: No. 163
Calculated total energy (eV per atom): -7.644
V (Å³ per cell): 226.4

Lattice parameters (Å, degrees): 5.5321 5.5321 8.5414 90.00 90.00 120.00
Last column: nearest neighbours and their distance in Å.
Sites, in units of the cell vectors:
O  0.6906  0.0613  0.3755  1 Re 1.91
O  0.9387  0.3094  0.1245  1 Re 1.91
O  0.0613  0.6906  0.8755  1 Re 1.91
O  0.3707  0.0613  0.1245  1 Re 1.91
O  0.3094  0.9387  0.6245  1 Re 1.91
O  0.9387  0.6293  0.3755  1 Re 1.91
O  0.6293  0.6906  0.6245  1 Re 1.91
O  0.3707  0.3094  0.3755  1 Re 1.91
O  0.6906  0.6293  0.1245  1 Re 1.91
O  0.3094  0.3707  0.8755  1 Re 1.91
O  0.0613  0.3707  0.6245  1 Re 1.91
O  0.6293  0.9387  0.8755  1 Re 1.91
Re  0.6667  0.3333  0.2500  6 O 1.91
Re  0.3333  0.6667  0.7500  6 O 1.91
Pm  0.3333  0.6667  0.2500  6 O 2.35
Pm  0.6667  0.3333  0.7500  6 O 2.35
Co  0.0000  0.0000  0.5000  6 O 2.18
Co  0.0000  0.0000  0.0000  6 O 2.18